VASP calculation (PBE) on FeSiIr2 after structural relaxation.

Cell lengths 4.044, 4.044, 12.462 Å; angles 90.00, 90.00, 120.00 degrees
Sites, in units of the cell vectors:
Fe: 0.000 0.000 0.000
Fe: 0.333 0.667 0.667
Fe: 0.667 0.333 0.333
Si: 0.000 0.000 0.193
Si: 0.333 0.667 0.860
Si: 0.667 0.333 0.527
Ir: 0.000 0.000 0.573
Ir: 0.000 0.000 0.783
Ir: 0.333 0.667 0.240
Ir: 0.333 0.667 0.449
Ir: 0.667 0.333 0.116
Ir: 0.667 0.333 0.907



VASP calculation (PBE) on Fe2SiIr after structural relaxation.

Cell lengths 3.522, 3.522, 17.657 Å; angles 90.00, 90.00, 90.00 degrees
Sites, in units of the cell vectors:
Fe: 0.228 0.250 0.125
Fe: 0.250 0.728 0.375
Fe: 0.250 0.772 0.875
Fe: 0.272 0.250 0.625
Fe: 0.728 0.750 0.625
Fe: 0.750 0.228 0.875
Fe: 0.750 0.272 0.375
Fe: 0.772 0.750 0.125
Si: 0.000 0.000 0.000
Si: 0.000 0.500 0.250
Si: 0.500 0.000 0.750
Si: 0.500 0.500 0.500
Ir: 0.000 0.000 0.500
Ir: 0.000 0.500 0.750
Ir: 0.500 0.000 0.250
Ir: 0.500 0.500 0.000



VASP calculation (PBE) on Fe2SiIr after structural relaxation.

Cell lengths 2.690, 2.690, 6.386 Å; angles 90.00, 90.00, 90.00 degrees
Sites, in units of the cell vectors:
Fe: 0.000 0.000 0.218
Fe: 0.000 0.000 0.782
Si: 0.500 0.500 0.000
Ir: 0.500 0.500 0.500



Energy relative to the elements, uncorrected, record by record: -0.176 0.131 -0.212 eV/atom
D(E_F), record by record: 9.8 11.3 3.3 states/eV/cell
Uncorrected energy, record by record: -8.078 -7.671 -8.015 eV/atom